Record 1
SrTbEr: relaxed, PBE.

Values from the calculation:
Energy relative to the lowest polymorph listed for this composition ... 0.0000 eV per atom
Spin magnetization ... 0.1032 μB/atom

Lattice parameters (Å, degrees): 5.913 5.913 10.617 90.00 90.00 120.00
Element x y z (fractional)
Sr 0.000 0.000 0.000
Sr 0.000 0.000 0.337
Sr 0.667 0.333 0.678
Tb 0.000 0.000 0.667
Tb 0.667 0.333 0.020
Tb 0.667 0.333 0.340
Er 0.333 0.667 0.174
Er 0.333 0.667 0.508
Er 0.333 0.667 0.840

Record 2
PuSn2: relaxed, PBE.

Values from the calculation:
Spin magnetization ... 1.8393 μB/atom

Lattice parameters (Å, degrees): 14.881 14.881 14.881 162.15 162.15 25.35
Element x y z (fractional)
Pu 0.298 0.548 0.750
Pu 0.452 0.702 0.750
Pu 0.548 0.298 0.250
Pu 0.702 0.452 0.250
Sn 0.038 0.788 0.250
Sn 0.124 0.374 0.750
Sn 0.212 0.962 0.250
Sn 0.374 0.124 0.250
Sn 0.626 0.876 0.750
Sn 0.788 0.038 0.750
Sn 0.876 0.626 0.250
Sn 0.962 0.212 0.750

Record 3
RbBaPbAu: relaxed, PBE.

Values from the calculation:
Energy relative to the lowest polymorph listed for this composition ... 0.0266 eV per atom

Lattice parameters (Å, degrees): 5.909 5.909 5.909 60.00 60.00 60.00
Element x y z (fractional)
Rb 0.000 0.000 0.000
Ba 0.500 0.500 0.500
Pb 0.250 0.250 0.250
Au 0.750 0.750 0.750

Record 4
Pb2Au: relaxed, PBE.

Lattice parameters (Å, degrees): 6.268 6.268 6.268 60.00 60.00 60.00
Element x y z (fractional)
Pb 0.000 0.000 0.000
Pb 0.000 0.000 0.500
Pb 0.000 0.500 0.000
Pb 0.500 0.000 0.000
Au 0.375 0.375 0.375
Au 0.625 0.625 0.625

Number 1: VASP energy -3.3304 eV per atom, volume 35.72 A^3/atom. Number 2: VASP energy -7.8199 eV per atom, volume 25.80 A^3/atom. Number 3: VASP energy -2.6716 eV per atom, volume 36.48 A^3/atom. Number 4: VASP energy -3.1242 eV per atom, volume 29.03 A^3/atom.